Entry one
Computed, not measured: a geometry-optimized KMoOs2 structure at the PBE level of DFT.

Output
SG: C2/m (12)

Geometry as POSCAR:
```
KMoOs2
1.0
3.0616 -4.4941 0.0000
3.0616 4.4941 0.0000
-0.3465 0.0000 2.5330
K Mo Os
1 1 2
Direct
0.0000 0.0000 0.0000 K
0.5000 0.5000 0.0000 Mo
0.0000 0.5000 0.5000 Os
0.5000 0.0000 0.5000 Os
```

Entry two
Computed, not measured: a geometry-optimized KMoOs2 structure at the PBE level of DFT.

Output
SG: P4mm (99)

Geometry as POSCAR:
```
KMoOs2
1.0
2.7537 0.0000 0.0000
0.0000 2.7537 0.0000
0.0000 0.0000 9.9358
K Mo Os
1 1 2
Direct
0.0000 0.0000 0.0000 K
0.5000 0.5000 0.3282 Mo
0.0000 0.0000 0.5381 Os
0.5000 0.5000 0.7130 Os
```

Entry three
Computed, not measured: a geometry-optimized KMoOs2 structure at the PBE level of DFT.

Output
SG: Cm (8)

Geometry as POSCAR:
```
KMoOs2
1.0
4.6820 -1.3779 0.0000
4.6820 1.3779 0.0000
-0.6975 0.0000 6.7027
K Mo Os
1 1 2
Direct
0.0000 0.0000 0.0000 K
0.2183 0.2183 0.6412 Mo
0.4944 0.4944 0.4832 Os
0.7763 0.7763 0.3438 Os
```

Entry four
Computed, not measured: a geometry-optimized KMoOs2 structure at the PBE level of DFT.

Output
SG: F-43m (216)

Geometry as POSCAR:
```
KMoOs2
1.0
0.0000 3.2034 3.2034
3.2034 0.0000 3.2034
3.2034 3.2034 0.0000
K Mo Os
1 1 2
Direct
0.0000 0.0000 0.0000 K
0.2500 0.2500 0.2500 Mo
0.5000 0.5000 0.5000 Os
0.7500 0.7500 0.7500 Os
```

What should be chosen as the least stable of them? Choose entry four.

Entry one
Computed, not measured: a geometry-optimized KMoOs2 structure at the PBE level of DFT.

Output
SG: Immm (71)

Geometry as POSCAR:
```
KMoOs2
1.0
-1.3818 2.5166 5.0942
1.3818 -2.5166 5.0942
1.3818 2.5166 -5.0942
K Mo Os
1 1 2
Direct
0.0000 0.0000 0.0000 K
0.5000 0.5000 0.0000 Mo
0.2805 0.7805 0.5000 Os
0.7195 0.2195 0.5000 Os
```

Entry two
Computed, not measured: a geometry-optimized KMoOs2 structure at the PBE level of DFT.

Output
SG: P2/m (10)

Geometry as POSCAR:
```
KMoOs2
1.0
2.7477 0.0000 0.0000
0.0000 3.8304 0.0000
-0.0580 0.0000 8.0132
K Mo Os
1 1 2
Direct
0.0000 0.0000 0.0000 K
0.0000 0.0000 0.5000 Mo
0.4963 0.5000 0.3395 Os
0.5037 0.5000 0.6605 Os
```

Entry three
Computed, not measured: a geometry-optimized KMoOs2 structure at the PBE level of DFT.

Output
SG: Cmm2 (35)

Geometry as POSCAR:
```
KMoOs2
1.0
1.4425 -2.3196 0.0000
1.4425 2.3196 0.0000
0.0000 0.0000 10.6013
K Mo Os
1 1 2
Direct
0.0000 0.0000 0.0000 K
0.5000 0.5000 0.7006 Mo
0.0000 0.0000 0.4887 Os
0.5000 0.5000 0.2741 Os
```

What should be chosen as the least stable of them? Choose entry one.

Entry one
Computed, not measured: a geometry-optimized KMoOs structure at the PBE level of DFT.

Output
SG: P3m1 (156)

Geometry as POSCAR:
```
KMoOs
1.0
2.8584 0.0000 0.0000
-1.4292 2.4755 0.0000
0.0000 0.0000 8.1725
K Mo Os
1 1 1
Direct
0.0000 0.0000 0.0000 K
0.3333 0.6667 0.3928 Mo
0.6667 0.3333 0.6432 Os
```

Entry two
Computed, not measured: a geometry-optimized KMoOs structure at the PBE level of DFT.

Output
SG: F-43m (216)

Geometry as POSCAR:
```
KMoOs
1.0
0.0000 3.1406 3.1406
3.1406 0.0000 3.1406
3.1406 3.1406 0.0000
K Mo Os
1 1 1
Direct
0.0000 0.0000 0.0000 K
0.2500 0.2500 0.2500 Mo
0.5000 0.5000 0.5000 Os
```

Entry three
Computed, not measured: a geometry-optimized KMoOs structure at the PBE level of DFT.

Output
SG: Imm2 (44)

Geometry as POSCAR:
```
KMoOs
1.0
-1.3372 2.8618 4.1653
1.3372 -2.8618 4.1653
1.3372 2.8618 -4.1653
K Mo Os
1 1 1
Direct
0.0000 0.0000 0.0000 K
0.6381 0.6381 0.0000 Mo
0.3659 0.3659 0.0000 Os
```

What should be chosen as the least stable of them? Choose entry two.

Entry one
Computed, not measured: a geometry-optimized KMoOs structure at the PBE level of DFT.

Output
SG: Fmm2 (42)

Geometry as POSCAR:
```
KMoOs
1.0
0.0000 2.3275 8.2319
1.5066 0.0000 8.2319
1.5066 2.3275 0.0000
K Mo Os
1 1 1
Direct
0.0000 0.0000 0.0000 K
0.3048 0.3048 0.6952 Mo
0.6757 0.6757 0.3243 Os
```

Entry two
Computed, not measured: a geometry-optimized KMoOs structure at the PBE level of DFT.

Output
SG: I4mm (107)

Geometry as POSCAR:
```
KMoOs
1.0
-1.5546 1.5546 7.1943
1.5546 -1.5546 7.1943
1.5546 1.5546 -7.1943
K Mo Os
1 1 1
Direct
0.0000 0.0000 0.0000 K
0.2763 0.2763 0.0000 Mo
0.6895 0.6895 0.0000 Os
```

What should be chosen as the least stable of them? Choose entry one.